4
Lattice="3.308 0.000 0.000 0.000 3.308 0.000 0.000 0.000 7.553" Properties=species:S:1:pos:R:3 comment="AlSnGe2 | Alexandria via LeMat-Bulk | PBE-GGA | relaxed" final_energy_ry_per_atom=-0.298 polymorph_energy_mev_per_atom=75 sg="P4/mmm, No. 123" m_tot_mub_per_cell=0.0 density_g_cm3=5.85 pbc="T T T"
Sn 1.654 1.654 3.777
Al 1.654 1.654 0.000
Ge 0.000 0.000 1.547
Ge 0.000 0.000 6.007

---

10
Lattice="3.061 0.000 0.000 -1.531 5.269 0.000 0.000 0.000 8.254" Properties=species:S:1:pos:R:3 comment="Ti3NiC | Alexandria via LeMat-Bulk | PBE-GGA | relaxed" final_energy_ry_per_atom=-0.608 polymorph_energy_mev_per_atom=0 sg="Cmcm, No. 63" m_tot_mub_per_cell=0.0 density_g_cm3=5.35 pbc="T T T"
Ti 0.000 0.634 6.191
Ti 0.000 3.904 7.762
Ti 1.531 4.635 2.064
Ti 1.531 1.366 3.635
Ti 1.531 1.366 0.492
Ti 0.000 3.904 4.619
Ni 1.531 2.628 6.191
Ni 0.000 2.642 2.064
C 0.000 0.000 0.000
C 0.000 0.000 4.127

---

8
Lattice="-3.769 -0.529 3.698 1.128 -2.354 4.621 1.530 7.352 6.419" Properties=species:S:1:pos:R:3 comment="BaMgHg4Pb2 | Alexandria via LeMat-Bulk | PBE-GGA | relaxed" final_energy_ry_per_atom=-0.127 sg="R-3m, No. 166" m_tot_mub_per_cell=0.0 density_g_cm3=9.99 pbc="T T T"
Hg -1.672 0.460 9.785
Hg 0.560 4.009 4.953
Hg -1.338 -0.464 6.185
Hg 0.226 4.933 8.552
Ba 0.000 0.000 0.000
Pb -0.248 1.220 3.729
Pb -0.863 3.249 11.008
Mg -0.556 2.234 7.369

---

5
Lattice="4.935 0.000 0.000 0.000 4.935 0.000 0.000 0.000 4.935" Properties=species:S:1:pos:R:3 comment="CaFe3Hg | Alexandria via LeMat-Bulk | PBE-GGA | relaxed" final_energy_ry_per_atom=-0.324 polymorph_energy_mev_per_atom=0 sg="Pm-3m, No. 221" m_tot_mub_per_cell=8.8 density_g_cm3=5.64 pbc="T T T"
Fe 2.468 0.000 0.000
Fe 0.000 0.000 2.468
Fe 0.000 2.468 0.000
Hg 0.000 0.000 0.000
Ca 2.468 2.468 2.468

---

4
Lattice="-2.153 -3.074 -3.682 2.993 -3.406 -2.660 -0.502 -5.163 0.851" Properties=species:S:1:pos:R:3 comment="CaAcAsPt | Alexandria via LeMat-Bulk | PBE-GGA | relaxed" final_energy_ry_per_atom=-0.386 sg="F-43m, No. 216" m_tot_mub_per_cell=0.0 density_g_cm3=8.68 pbc="T T T"
As 0.085 -2.911 -1.373
Ac 0.000 0.000 0.000
Pt 0.254 -8.732 -4.118
Ca 0.169 -5.821 -2.745

---

6
Lattice="4.696 0.000 0.000 0.000 3.095 0.000 0.000 1.547 9.247" Properties=species:S:1:pos:R:3 comment="DyUZn | Alexandria via LeMat-Bulk | PBE-GGA | relaxed" final_energy_ry_per_atom=-0.413 sg="Cmcm, No. 63" m_tot_mub_per_cell=0.0 density_g_cm3=11.52 pbc="T T T"
Zn 3.522 3.095 5.490
Zn 1.174 1.547 3.757
Dy 1.174 1.547 6.736
Dy 3.522 3.095 2.510
U 1.174 1.547 0.533
U 3.522 3.095 8.713

---

12
Lattice="-1.106 -4.057 -0.100 3.753 -1.194 6.963 -7.476 4.142 3.107" Properties=species:S:1:pos:R:3 comment="Y2PuAg3Se6 | Alexandria via LeMat-Bulk | PBE-GGA | relaxed" final_energy_ry_per_atom=-0.427 sg="C2/m, No. 12" m_tot_mub_per_cell=5.0 e_form_raw_mev_per_atom=-1077 density_g_cm3=6.89 pbc="T T T"
Se -5.740 -0.818 8.200
Se -1.931 0.322 8.335
Se -1.043 -2.021 5.090
Se -2.897 -1.431 1.635
Se 0.912 -0.292 1.770
Se -3.785 0.912 4.880
Pu -0.553 -2.029 -0.050
Ag 1.324 -2.626 3.431
Ag 0.672 -0.353 6.928
Ag -5.501 -0.756 3.042
Y -1.399 0.298 3.404
Y -3.430 -1.407 6.566

---

10
Lattice="-3.433 -0.724 -0.163 3.009 -14.450 0.856 -3.080 13.349 5.559" Properties=species:S:1:pos:R:3 comment="La2TbEr7 | Alexandria via LeMat-Bulk | PBE-GGA | relaxed" final_energy_ry_per_atom=-0.329 polymorph_energy_mev_per_atom=133 sg="Cmmm, No. 65" m_tot_mub_per_cell=0.0 density_g_cm3=8.10 pbc="T T T"
Er -1.752 -0.913 3.126
Er -1.143 -3.332 1.035
Er 1.894 -9.361 1.717
Er -2.325 2.068 1.949
Er -1.179 -3.893 4.304
Er -2.362 1.506 5.217
Er -1.966 8.260 4.698
Tb 0.000 0.000 0.000
La -0.491 -6.672 2.152
La -3.014 4.847 4.101

---

8
Lattice="5.246 0.000 0.000 0.000 5.246 0.000 2.623 2.623 5.361" Properties=species:S:1:pos:R:3 comment="AlOsS2 | Alexandria via LeMat-Bulk | PBE-GGA | relaxed" final_energy_ry_per_atom=-0.434 sg="I-42d, No. 122" m_tot_mub_per_cell=0.0 e_form_raw_mev_per_atom=-95 density_g_cm3=6.33 pbc="T T T"
Al 2.623 5.246 2.680
Al 2.623 2.623 0.000
S 1.307 3.935 1.340
S 3.939 1.312 1.340
S 6.558 6.562 4.021
S 3.935 3.930 4.021
Os 5.246 2.623 2.680
Os 0.000 0.000 0.000